No. 1
TcRu5 | PBEsol | optimized geometry

Cell lengths 4.2576, 7.1343, 7.1343 Å; angles 21.80, 90.00, 90.00 degrees
Last column: nearest neighbours and their distance in Å.
Sites, in units of the cell vectors:
1 Tc 0.0000 0.0000 0.0000  10 Ru 2.63-2.72, 2 Tc 2.70
2 Ru 0.0000 0.3318 0.3318  10 Ru 2.63-2.70, 2 Tc 2.72
3 Ru 0.0000 0.6655 0.6655  10 Ru 2.64-2.70, 2 Tc 2.68
4 Ru 0.5000 0.1100 0.1100  2 Tc 2.63, 10 Ru 2.64-2.70
5 Ru 0.5000 0.4436 0.4436  4 Tc 2.64, 8 Ru 2.64-2.70
6 Ru 0.5000 0.7772 0.7772  12 Ru 2.63-2.70

Output
DOS(E_F) = 4.62 states/eV per cell
DFT total energy = -62.3 eV per cell
formation energy from the elements = -33 meV per atom

No. 2
TcRu3 | PBEsol | optimized geometry

Cell lengths 2.6982, 4.2554, 4.6730 Å; angles 90.00, 90.00, 90.00 degrees
Last column: nearest neighbours and their distance in Å.
Sites, in units of the cell vectors:
1 Tc 0.0000 0.0000 0.0000  10 Ru 2.63-2.73, 2 Tc 2.70
2 Ru 0.0000 0.5000 0.6687  10 Ru 2.63-2.71, 2 Tc 2.63
3 Ru 0.5000 0.0000 0.5075  8 Ru 2.63-2.70, 4 Tc 2.67-2.73
4 Ru 0.5000 0.5000 0.1709  4 Tc 2.64, 8 Ru 2.65-2.71

Output
DOS(E_F) = 3.04 states/eV per cell
DFT total energy = -42.0 eV per cell
formation energy from the elements = -53 meV per atom

No. 3
TcRu2 | PBEsol | optimized geometry

Cell lengths 7.1478, 7.1478, 4.2661 Å; angles 90.00, 90.00, 158.24 degrees
Last column: nearest neighbours and their distance in Å.
Sites, in units of the cell vectors:
1 Tc 0.1116 0.8884 0.7500  10 Ru 2.64-2.72, 2 Tc 2.70
2 Tc 0.8884 0.1116 0.2500  10 Ru 2.64-2.72, 2 Tc 2.70
3 Ru 0.2221 0.7779 0.2500  4 Tc 2.64-2.70, 8 Ru 2.64-2.70
4 Ru 0.4437 0.5563 0.7500  6 Tc 2.64-2.72, 6 Ru 2.66-2.70
5 Ru 0.5563 0.4437 0.2500  6 Tc 2.64-2.72, 6 Ru 2.66-2.70
6 Ru 0.7779 0.2221 0.7500  4 Tc 2.64-2.70, 8 Ru 2.64-2.70

Output
offset from the most stable computed form = 0 meV per atom
DOS(E_F) = 5.06 states/eV per cell
DFT total energy = -63.6 eV per cell
formation energy from the elements = -60 meV per atom

No. 4
TcRu3 | PBEsol | optimized geometry

Cell lengths 4.2719, 4.2719, 4.2719 Å; angles 60.00, 60.00, 60.00 degrees
Last column: nearest neighbours and their distance in Å.
Sites, in units of the cell vectors:
1 Tc 0.0000 0.0000 0.0000  8 Ru 2.62
2 Ru 0.2500 0.2500 0.2500  4 Ru 2.62, 4 Tc 2.62
3 Ru 0.5000 0.5000 0.5000  8 Ru 2.62
4 Ru 0.7500 0.7500 0.7500  4 Ru 2.62, 4 Tc 2.62

Output
DOS(E_F) = 7.42 states/eV per cell
DFT total energy = -39.5 eV per cell
formation energy from the elements = 560 meV per atom

No. 5
TcRu5 | PBEsol | optimized geometry

Cell lengths 5.0308, 5.0308, 6.3116 Å; angles 103.05, 103.05, 31.08 degrees
Last column: nearest neighbours and their distance in Å.
Sites, in units of the cell vectors:
1 Tc 0.0000 0.0000 0.0000  10 Ru 2.62-2.70, 2 Tc 2.70
2 Ru 0.2777 0.2777 0.0545  9 Ru 2.63-2.70, 3 Tc 2.63
3 Ru 0.3332 0.3332 0.6660  10 Ru 2.63-2.70, 2 Tc 2.70
4 Ru 0.6112 0.6112 0.7220  10 Ru 2.63-2.70, 2 Tc 2.64
5 Ru 0.6669 0.6669 0.3322  10 Ru 2.63-2.70, 2 Tc 2.69
6 Ru 0.9449 0.9449 0.3877  1 Tc 2.62, 11 Ru 2.63-2.70

Output
DOS(E_F) = 4.76 states/eV per cell
DFT total energy = -62.3 eV per cell
formation energy from the elements = -32 meV per atom

No. 6
Tc7Ru | PBEsol | optimized geometry

Cell lengths 5.4004, 5.4004, 5.4004 Å; angles 60.00, 60.00, 60.00 degrees
Last column: nearest neighbours and their distance in Å.
Sites, in units of the cell vectors:
1 Tc 0.0000 0.0000 0.0000  12 Tc 2.70
2 Tc 0.0000 0.0000 0.5000  10 Tc 2.70, 2 Ru 2.70
3 Tc 0.0000 0.5000 0.0000  10 Tc 2.70, 2 Ru 2.70
4 Tc 0.0000 0.5000 0.5000  2 Ru 2.70, 10 Tc 2.70
5 Tc 0.5000 0.0000 0.0000  10 Tc 2.70, 2 Ru 2.70
6 Tc 0.5000 0.0000 0.5000  2 Ru 2.70, 10 Tc 2.70
7 Tc 0.5000 0.5000 0.0000  2 Ru 2.70, 10 Tc 2.70
8 Ru 0.5000 0.5000 0.5000  12 Tc 2.70

Output
DOS(E_F) = 8.61 states/eV per cell
DFT total energy = -88.5 eV per cell
formation energy from the elements = 64 meV per atom